Entry 1:
Crystalline Mn2ZnRh2 at its relaxed geometry. Source: Alexandria via LeMat-Bulk, functional GGA-PBE.

Output
For the total magnetization, the calculation gives 7.51 Bohr magnetons per cell. As for the energy: -6.764 eV/atom. As for the space group: P4/mbm, No. 127.

```
10
Lattice="-4.210 4.539 -3.534 -3.701 1.217 5.971 1.686 2.052 0.627" Properties=species:S:1:pos:R:3 pbc="T T T"
Zn 0.000 0.000 0.000
Zn -3.955 2.878 1.218
Mn -4.916 2.839 3.929
Mn -6.003 4.774 0.520
Mn -2.995 2.917 -1.493
Mn -1.908 0.982 1.916
Rh -2.446 2.681 3.742
Rh -5.056 5.116 2.788
Rh -3.779 5.126 -0.679
Rh -1.170 2.691 0.275
```

***

Entry 2:
Crystalline MnZn3Rh at its relaxed geometry. Source: Alexandria via LeMat-Bulk, functional GGA-PBE.

Output
For the total magnetization, the calculation gives 4.84 Bohr magnetons per cell. As for the energy: -3.593 eV/atom. The relative energy among the computed polymorphs is 0.000 eV per formula unit. As for the space group: Pm-3m, No. 221.

```
5
Lattice="-0.376 4.701 0.321 -0.455 -0.357 4.692 4.690 0.342 0.481" Properties=species:S:1:pos:R:3 pbc="T T T"
Zn -0.228 -0.178 2.346
Zn 2.345 0.171 0.241
Zn -0.188 2.351 0.161
Mn 1.930 2.343 2.747
Rh 0.000 0.000 0.000
```

***

Entry 3:
Crystalline MnZn2Rh at its relaxed geometry. Source: Alexandria via LeMat-Bulk, functional GGA-PBE.

Output
For the total magnetization, the calculation gives 0.68 Bohr magnetons per cell. As for the energy: -4.847 eV/atom. As for the space group: P4mm, No. 99.

```
4
Lattice="-0.191 2.486 1.082 -1.574 -0.985 1.984 5.929 -1.310 4.054" Properties=species:S:1:pos:R:3 pbc="T T T"
Mn 3.026 -0.668 2.069
Rh 3.452 -0.207 4.498
Zn 5.872 -1.297 4.015
Zn 0.707 0.399 2.620
```

***

Entry 4:
Crystalline MnZn2Rh at its relaxed geometry. Source: Alexandria via LeMat-Bulk, functional GGA-PBE.

Output
For the total magnetization, the calculation gives 3.43 Bohr magnetons per cell. As for the energy: -4.814 eV/atom. As for the space group: R-3m, No. 166.

```
4
Lattice="8.613 -0.001 -0.001 8.164 2.746 -0.001 8.164 1.336 2.399" Properties=species:S:1:pos:R:3 pbc="T T T"
Mn 6.235 1.020 0.600
Rh 18.705 3.061 1.799
Zn 0.032 0.005 0.003
Zn 12.438 2.035 1.196
```

***

Entry 5:
Crystalline MnZnRh14 at its relaxed geometry. Source: Alexandria via LeMat-Bulk, functional GGA-PBE.

Output
For the total magnetization, the calculation gives 2.27 Bohr magnetons per cell. As for the energy: -7.133 eV/atom. As for the space group: Amm2, No. 38.

```
16
Lattice="-0.186 -1.272 5.262 -4.105 -1.398 -3.247 3.992 -7.717 -1.724" Properties=species:S:1:pos:R:3 pbc="T T T"
Mn -1.946 -5.252 -3.755
Zn 0.015 -5.188 0.503
Rh -3.289 -1.372 -1.476
Rh -1.331 -1.309 2.777
Rh 0.113 -4.549 -2.132
Rh -1.235 -0.672 0.149
Rh -2.044 -5.891 -1.119
Rh -3.382 -2.008 1.158
Rh 2.404 -6.418 0.276
Rh 0.429 -2.598 1.129
Rh 0.251 -7.758 1.287
Rh -1.725 -3.938 2.140
Rh 0.351 -7.125 -1.347
Rh -1.631 -3.294 -0.491
Rh 2.308 -7.052 2.916
Rh 0.336 -3.241 3.768
```

***

Entry 6:
Crystalline MnZn4Rh at its relaxed geometry. Source: Alexandria via LeMat-Bulk, functional GGA-PBE.

Output
For the total magnetization, the calculation gives 8.09 Bohr magnetons per cell. As for the energy: -3.769 eV/atom. The relative energy among the computed polymorphs is 0.000 eV per formula unit. As for the space group: P-1, No. 2.

```
12
Lattice="-0.992 -4.035 -1.042 3.715 0.510 3.357 -3.889 -1.136 8.174" Properties=species:S:1:pos:R:3 pbc="T T T"
Mn 2.494 -0.783 5.140
Mn -3.661 -3.879 5.349
Zn -0.219 -3.888 2.100
Zn 0.502 -2.224 3.781
Zn -0.947 -0.774 8.389
Zn -1.668 -2.438 6.708
Zn -2.082 -1.753 4.406
Zn -0.533 -1.459 10.691
Zn 0.915 -2.909 6.083
Zn -0.633 -3.203 -0.202
Rh 1.362 -1.763 1.158
Rh -0.087 -0.313 5.766
```

***

Entry 7:
Crystalline MnZn2Rh at its relaxed geometry. Source: Alexandria via LeMat-Bulk, functional GGA-PBE.

Output
For the total magnetization, the calculation gives 3.74 Bohr magnetons per cell. As for the energy: -4.949 eV/atom. As for the space group: Cmmm, No. 65.

```
4
Lattice="-1.580 2.595 -3.232 -2.247 -3.791 -0.508 -2.076 0.988 1.808" Properties=species:S:1:pos:R:3 pbc="T T T"
Zn 0.000 0.000 0.000
Zn -1.914 -0.598 -1.870
Mn -1.828 1.792 -0.712
Rh -2.161 -1.402 0.650
```

***

Entry 8:
Crystalline Mn3ZnRh4 at its relaxed geometry. Source: Alexandria via LeMat-Bulk, functional GGA-PBE.

Output
For the total magnetization, the calculation gives 11.68 Bohr magnetons per cell. As for the energy: -7.512 eV/atom. As for the space group: Pmmm, No. 47.

```
8
Lattice="-0.564 0.121 -2.990 -4.186 -0.240 0.780 -0.410 8.518 0.423" Properties=species:S:1:pos:R:3 pbc="T T T"
Zn -2.375 -0.060 -1.105
Mn -0.383 2.163 -1.390
Mn -2.580 4.199 -0.893
Mn -0.591 6.476 -1.176
Rh -0.205 4.259 0.211
Rh -2.399 6.240 0.706
Rh 0.000 0.000 0.000
Rh -2.197 2.038 0.497
```

***

Entry 9:
Crystalline MnZn2Rh at its relaxed geometry. Source: Alexandria via LeMat-Bulk, functional GGA-PBE.

Output
For the total magnetization, the calculation gives 3.95 Bohr magnetons per cell. As for the energy: -4.936 eV/atom. As for the space group: Cm, No. 8.

```
4
Lattice="-4.201 -1.224 -2.284 -2.788 -3.826 -1.398 -3.225 -0.838 2.682" Properties=species:S:1:pos:R:3 pbc="T T T"
Mn -5.163 -2.959 -0.455
Rh -7.593 -4.393 -0.788
Zn -7.045 -5.058 -3.616
Zn -2.508 -1.472 -0.323
```

***

Entry 10:
Crystalline Mn2ZnRh2 at its relaxed geometry. Source: Alexandria via LeMat-Bulk, functional GGA-PBE.

Output
For the total magnetization, the calculation gives 0.00 Bohr magnetons per cell. As for the energy: -6.634 eV/atom. As for the space group: I4/mmm, No. 139.

```
5
Lattice="1.699 3.553 3.985 0.896 5.432 -1.038 -3.882 -3.948 -0.857" Properties=species:S:1:pos:R:3 pbc="T T T"
Mn 1.548 5.358 1.757
Mn 1.048 3.627 1.190
Zn 0.000 0.000 0.000
Rh -0.844 2.988 -0.211
Rh -0.442 2.048 2.301
```

***

Entry 11:
Crystalline ZrMn2Rh at its relaxed geometry. Source: Alexandria via LeMat-Bulk, functional GGA-PBE.

Output
For the total magnetization, the calculation gives 1.02 Bohr magnetons per cell. As for the energy: -8.751 eV/atom. As for the space group: I-4m2, No. 119.

```
4
Lattice="4.472 -0.270 0.000 0.287 4.471 0.000 -2.379 -2.100 3.162" Properties=species:S:1:pos:R:3 pbc="T T T"
Mn 0.000 0.000 0.000
Mn 0.143 2.235 1.581
Rh 2.379 2.100 0.000
Zr 2.236 -0.135 1.581
```

***

Entry 12:
Crystalline ZrMn2Rh at its relaxed geometry. Source: Alexandria via LeMat-Bulk, functional GGA-PBE.

Output
For the total magnetization, the calculation gives 7.17 Bohr magnetons per cell. As for the energy: -8.328 eV/atom. As for the space group: R-3m, No. 166.

```
4
Lattice="9.067 -0.009 -0.005 8.599 2.874 -0.005 8.599 1.395 2.513" Properties=species:S:1:pos:R:3 pbc="T T T"
Mn 26.062 4.227 2.483
Mn 13.335 2.163 1.270
Rh 6.566 1.065 0.626
Zr 19.698 3.195 1.877
```

***

Entry 13:
Crystalline Zr2MnRh at its relaxed geometry. Source: Alexandria via LeMat-Bulk, functional GGA-PBE.

Output
For the total magnetization, the calculation gives 6.72 Bohr magnetons per cell. As for the energy: -8.080 eV/atom. As for the space group: I-42d, No. 122.

```
8
Lattice="4.111 0.000 0.000 0.000 4.111 0.000 2.055 2.055 9.332" Properties=species:S:1:pos:R:3 pbc="T T T"
Mn 2.055 2.055 0.000
Mn 2.055 4.111 4.666
Rh 0.000 0.000 0.000
Rh 4.111 2.055 4.666
Zr 3.092 1.028 2.333
Zr 1.019 3.083 2.333
Zr 3.083 3.074 6.999
Zr 5.139 5.147 6.999
```

***

Entry 14:
Crystalline ZrMn2Rh at its relaxed geometry. Source: Alexandria via LeMat-Bulk, functional GGA-PBE.

Output
For the total magnetization, the calculation gives 5.40 Bohr magnetons per cell. As for the energy: -8.636 eV/atom. As for the space group: Fm-3m, No. 225.

```
4
Lattice="0.000 3.123 3.123 3.123 0.000 3.123 3.123 3.123 0.000" Properties=species:S:1:pos:R:3 pbc="T T T"
Mn 1.561 1.561 1.561
Mn 4.684 4.684 4.684
Rh 3.123 3.123 3.123
Zr 0.000 0.000 0.000
```

***

Entry 15:
Crystalline ZrMn2Rh2 at its relaxed geometry. Source: Alexandria via LeMat-Bulk, functional GGA-PBE.

Output
For the total magnetization, the calculation gives 0.00 Bohr magnetons per cell. As for the energy: -8.358 eV/atom. As for the space group: I4/mmm, No. 139.

```
5
Lattice="-1.058 1.069 -2.983 -2.762 -1.853 0.316 -5.048 4.792 1.637" Properties=species:S:1:pos:R:3 pbc="T T T"
Mn -4.008 2.734 -1.340
Mn -4.860 1.274 0.310
Rh -2.564 0.688 -0.715
Rh -6.304 3.320 -0.316
Zr 0.000 0.000 0.000
```

***

Entry 16:
Crystalline ZrMn2Rh at its relaxed geometry. Source: Alexandria via LeMat-Bulk, functional GGA-PBE.

Output
For the total magnetization, the calculation gives 12.63 Bohr magnetons per cell. As for the energy: -8.370 eV/atom. As for the space group: I-42d, No. 122.

```
8
Lattice="-3.310 -3.544 5.261 6.100 -0.150 3.737 0.744 0.476 5.654" Properties=species:S:1:pos:R:3 pbc="T T T"
Mn -1.227 -2.229 5.338
Mn 3.691 -0.303 4.238
Mn 1.408 -1.023 7.495
Mn 3.195 -2.880 12.234
Rh 0.000 0.000 0.000
Rh -0.586 -2.457 7.707
Zr 1.395 -1.847 4.499
Zr 4.119 -0.760 6.945
```

***

Entry 17:
Crystalline ZrMn2Rh at its relaxed geometry. Source: Alexandria via LeMat-Bulk, functional GGA-PBE.

Output
For the total magnetization, the calculation gives 6.85 Bohr magnetons per cell. As for the energy: -8.379 eV/atom. As for the space group: R3m, No. 160.

```
4
Lattice="8.998 -0.054 -0.031 8.543 2.826 -0.031 8.543 1.350 2.483" Properties=species:S:1:pos:R:3 pbc="T T T"
Mn 25.973 4.105 2.410
Mn 6.491 1.026 0.602
Rh 13.142 2.077 1.219
Zr 19.603 3.098 1.819
```

***

Entry 18:
Crystalline Zr2MnRh at its relaxed geometry. Source: Alexandria via LeMat-Bulk, functional GGA-PBE.

Output
For the total magnetization, the calculation gives 2.04 Bohr magnetons per cell. As for the energy: -8.690 eV/atom. As for the space group: Imm2, No. 44.

```
4
Lattice="5.567 0.017 -0.010 2.822 4.799 0.010 -3.867 -2.979 2.677" Properties=species:S:1:pos:R:3 pbc="T T T"
Mn 4.276 2.455 0.000
Rh 2.912 -0.297 1.333
Zr 8.311 4.771 0.000
Zr 1.608 2.133 1.344
```

***

Entry 19:
Crystalline ZrMn2Rh at its relaxed geometry. Source: Alexandria via LeMat-Bulk, functional GGA-PBE.

Output
For the total magnetization, the calculation gives 1.87 Bohr magnetons per cell. As for the energy: -8.779 eV/atom. As for the space group: P4mm, No. 99.

```
4
Lattice="-0.663 1.467 -2.702 -3.037 -0.744 0.341 -0.966 5.392 3.163" Properties=species:S:1:pos:R:3 pbc="T T T"
Mn -0.034 0.190 0.111
Mn -2.080 1.642 -0.429
Rh -0.462 2.578 1.513
Zr -2.574 4.400 1.189
```

***

Entry 20:
Crystalline ZrMn3Rh at its relaxed geometry. Source: Alexandria via LeMat-Bulk, functional GGA-PBE.

Output
For the total magnetization, the calculation gives 0.00 Bohr magnetons per cell. As for the energy: -6.658 eV/atom. The relative energy among the computed polymorphs is 6.061 eV per formula unit. As for the space group: Pm-3m, No. 221.

```
5
Lattice="4.416 0.000 0.000 0.000 4.416 0.000 0.000 0.000 4.416" Properties=species:S:1:pos:R:3 pbc="T T T"
Mn 0.000 2.208 0.000
Mn 0.000 0.000 2.208
Mn 2.208 0.000 0.000
Rh 2.208 2.208 2.208
Zr 0.000 0.000 0.000
```

***

Entry 21:
Crystalline ZrMn2Rh at its relaxed geometry. Source: Alexandria via LeMat-Bulk, functional GGA-PBE.

Output
For the total magnetization, the calculation gives 7.21 Bohr magnetons per cell. As for the energy: -8.695 eV/atom. As for the space group: Immm, No. 71.

```
4
Lattice="5.195 -0.090 -0.021 4.058 3.245 -0.021 1.698 0.579 3.761" Properties=species:S:1:pos:R:3 pbc="T T T"
Mn 9.161 3.124 0.003
Mn 5.566 1.898 1.813
Rh 2.738 0.933 0.929
Zr 8.213 2.800 2.788
```

***

Entry 22:
Crystalline ZrMn3Rh at its relaxed geometry. Source: Alexandria via LeMat-Bulk, functional GGA-PBE.

Output
For the total magnetization, the calculation gives 10.64 Bohr magnetons per cell. As for the energy: -7.870 eV/atom. The relative energy among the computed polymorphs is 0.000 eV per formula unit. As for the space group: Pm-3m, No. 221.

```
5
Lattice="-3.023 1.313 3.328 1.228 -3.711 2.580 3.360 2.538 2.051" Properties=species:S:1:pos:R:3 pbc="T T T"
Mn 0.614 -1.856 1.290
Mn 1.680 1.269 1.026
Mn -1.512 0.656 1.664
Rh 0.000 0.000 0.000
Zr 0.782 0.070 3.980
```

***

Entry 23:
Crystalline Zr2MnRh at its relaxed geometry. Source: Alexandria via LeMat-Bulk, functional GGA-PBE.

Output
For the total magnetization, the calculation gives 4.23 Bohr magnetons per cell. As for the energy: -8.635 eV/atom. As for the space group: P4mm, No. 99.

```
4
Lattice="3.277 0.000 0.000 0.000 3.277 0.000 0.000 0.000 6.884" Properties=species:S:1:pos:R:3 pbc="T T T"
Mn 0.000 0.000 3.627
Rh 1.638 1.638 5.088
Zr 0.000 0.000 6.629
Zr 1.638 1.638 1.865
```

***

Entry 24:
Crystalline ZrMn2Rh at its relaxed geometry. Source: Alexandria via LeMat-Bulk, functional GGA-PBE.

Output
For the total magnetization, the calculation gives 6.94 Bohr magnetons per cell. As for the energy: -8.595 eV/atom. As for the space group: P2/m, No. 10.

```
4
Lattice="-1.747 3.717 -1.003 -2.344 -0.648 1.683 1.065 1.853 5.012" Properties=species:S:1:pos:R:3 pbc="T T T"
Mn -0.135 -0.010 0.198
Mn -0.505 0.613 3.149
Rh -1.193 2.160 1.172
Zr -1.833 2.763 4.519
```

***

Entry 25:
Crystalline ZrMn2Rh at its relaxed geometry. Source: Alexandria via LeMat-Bulk, functional GGA-PBE.

Output
For the total magnetization, the calculation gives 5.58 Bohr magnetons per cell. As for the energy: -8.543 eV/atom. As for the space group: C2/m, No. 12.

```
4
Lattice="5.098 -0.005 -0.014 -2.285 4.540 0.009 0.529 0.890 2.700" Properties=species:S:1:pos:R:3 pbc="T T T"
Mn 0.000 0.000 0.000
Mn 2.813 0.442 1.343
Rh -0.878 2.715 1.355
Zr 1.407 2.268 -0.003
```

***

Entry 26:
Crystalline Zr2MnRh at its relaxed geometry. Source: Alexandria via LeMat-Bulk, functional GGA-PBE.

Output
For the total magnetization, the calculation gives 3.81 Bohr magnetons per cell. As for the energy: -8.392 eV/atom. As for the space group: R3m, No. 160.

```
4
Lattice="9.214 0.110 0.065 8.655 3.162 0.065 8.655 1.585 2.737" Properties=species:S:1:pos:R:3 pbc="T T T"
Mn 13.073 2.393 1.413
Rh 19.969 3.656 2.158
Zr 0.236 0.043 0.025
Zr 6.510 1.192 0.704
```

***

Entry 27:
Crystalline Zr3MnRh at its relaxed geometry. Source: Alexandria via LeMat-Bulk, functional GGA-PBE.

Output
For the total magnetization, the calculation gives 0.00 Bohr magnetons per cell. As for the energy: -8.072 eV/atom. The relative energy among the computed polymorphs is 0.000 eV per formula unit. As for the space group: Pm-3m, No. 221.

```
5
Lattice="4.714 0.000 0.000 0.000 4.714 0.000 0.000 0.000 4.714" Properties=species:S:1:pos:R:3 pbc="T T T"
Mn 0.000 0.000 0.000
Rh 2.357 2.357 2.357
Zr 0.000 2.357 0.000
Zr 0.000 0.000 2.357
Zr 2.357 0.000 0.000
```

***

Entry 28:
Crystalline ZrMn2Rh at its relaxed geometry. Source: Alexandria via LeMat-Bulk, functional GGA-PBE.

Output
For the total magnetization, the calculation gives 6.75 Bohr magnetons per cell. As for the energy: -8.678 eV/atom. As for the space group: Imm2, No. 44.

```
4
Lattice="5.165 -0.039 0.012 4.065 3.186 0.012 1.763 0.601 3.843" Properties=species:S:1:pos:R:3 pbc="T T T"
Mn 9.216 3.143 0.030
Mn 2.652 0.905 1.016
Rh 5.528 1.885 1.917
Zr 8.323 2.839 2.859
```